A plane-wave DFT calculation with PBEsol was carried out for an optimized crystal structure of Be2IrPt.

Computed properties:
Energy above the most stable polymorph in this dataset in eV per atom: 0.000
Symmetry: Fm-3m, No. 225

Cell: 3.949 3.949 3.949 Å, 60.00 60.00 60.00°
Sites, in units of the cell vectors:
Be 0.250 0.250 0.250
Be 0.750 0.750 0.750
Ir 0.000 0.000 0.000
Pt 0.500 0.500 0.500

***

A plane-wave DFT calculation with PBEsol was carried out for an optimized crystal structure of YNi3.

Computed properties:
Symmetry: R-3m, No. 166

Cell: 8.484 8.484 8.484 Å, 33.45 33.45 33.45°
Sites, in units of the cell vectors:
Y 0.000 0.000 0.000
Y 0.139 0.139 0.139
Y 0.861 0.861 0.861
Ni 0.081 0.582 0.582
Ni 0.333 0.333 0.333
Ni 0.418 0.418 0.919
Ni 0.418 0.919 0.418
Ni 0.500 0.500 0.500
Ni 0.582 0.081 0.582
Ni 0.582 0.582 0.081
Ni 0.667 0.667 0.667
Ni 0.919 0.418 0.418

***

A plane-wave DFT calculation with PBEsol was carried out for an optimized crystal structure of Ta4FePb.

Computed properties:
Symmetry: F-43m, No. 216

Cell: 5.408 5.408 5.408 Å, 60.00 60.00 60.00°
Sites, in units of the cell vectors:
Ta 0.125 0.125 0.125
Ta 0.125 0.125 0.625
Ta 0.125 0.625 0.125
Ta 0.625 0.125 0.125
Fe 0.750 0.750 0.750
Pb 0.500 0.500 0.500

***

| no. | spin magnetization (μB/f.u.) | D(E_F) (states/eV per atom) | uncorrected energy (eV per atom) |
| --- | --- | --- | --- |
| 1 | 0.00 | 0.1948 | -6.916 |
| 2 | 0.13 | 1.3220 | -6.732 |
| 3 | 1.27 | 1.3508 | -9.844 |